Density functional theory data (PBE) for crystalline RbCeAuS2 at its relaxed geometry.

energy relative to the elements, uncorrected = -5.50 eV/f.u.
total moment = 1.349 μB per formula unit
E = -4.7864 eV per atom
calculated density = 5.195 g cm⁻³
SG = P2/c, No. 13
Fermi-level density of states = 1.53 states/eV per atom

a = 7.612 Å, b = 5.209 Å, c = 7.997 Å
α = 90.00°, β = 101.15°, γ = 90.00°
Fractional coordinates of all 10 atoms:
Rb  0.000  0.154  0.250
Rb  0.000  0.846  0.750
Ce  0.500  0.491  0.750
Ce  0.500  0.509  0.250
Au  0.500  0.000  0.000
Au  0.500  0.000  0.500
S  0.266  0.325  0.960
S  0.266  0.675  0.460
S  0.734  0.325  0.540
S  0.734  0.675  0.040